Mg2GeSb2 PBE optimized geometry; uncorrected energy = -0.11899 Ha/atom; formation energy without anion corrections = -0.6 kcal/mol of atoms; distance to the lowest polymorph of the same formula = 0.000 eV/f.u.
1.0
8.4266 0.0000 0.0000
0.0000 8.4266 0.0000
0.0000 0.0000 3.4626
Mg Ge Sb
4 2 4
direct
0.1315 0.3685 0.0000
0.3685 0.8685 0.0000
0.6315 0.1315 0.0000
0.8685 0.6315 0.0000
0.0000 0.0000 0.5000
0.5000 0.5000 0.5000
0.1698 0.6698 0.5000
0.3302 0.1698 0.5000
0.6698 0.8302 0.5000
0.8302 0.3302 0.5000

ZrCu2Ru2 PBE optimized geometry; ΔE_f = 0.53 eV per formula unit; uncorrected energy = -0.25550 Ha/atom; distance to the lowest polymorph of the same formula = 0.000 eV/f.u.
1.0
6.8116 0.0000 0.0000
0.0000 6.8116 0.0000
0.0000 0.0000 3.1993
Zr Cu Ru
2 4 4
direct
0.0000 0.0000 0.0000
0.5000 0.5000 0.0000
0.1254 0.3746 0.0000
0.3746 0.8746 0.0000
0.6254 0.1254 0.0000
0.8746 0.6254 0.0000
0.1704 0.6704 0.5000
0.3296 0.1704 0.5000
0.6704 0.8296 0.5000
0.8296 0.3296 0.5000

K3Rb3PuI8 PBE optimized geometry; uncorrected energy = -0.13174 Ha/atom; formation energy without anion corrections = -32.0 kcal/mol of atoms
1.0
5.1077 2.9489 8.5317
-5.1077 2.9489 8.5317
0.0000 -5.8978 8.5317
K Rb Pu I
3 3 1 8
direct
0.0000 0.5000 0.5000
0.5000 0.0000 0.5000
0.5000 0.5000 0.0000
0.0000 0.0000 0.5000
0.0000 0.5000 0.0000
0.5000 0.0000 0.0000
0.0000 0.0000 0.0000
0.2244 0.2244 0.7690
0.2244 0.7690 0.2244
0.2310 0.7756 0.7756
0.2540 0.2540 0.2540
0.7460 0.7460 0.7460
0.7690 0.2244 0.2244
0.7756 0.2310 0.7756
0.7756 0.7756 0.2310

Ac4PmTl2 PBE optimized geometry; ΔE_f = 0.19 eV per formula unit; uncorrected energy = -0.13508 Ha/atom
1.0
-3.7005 5.9483 6.3913
3.7005 -5.9483 6.3913
3.7005 5.9483 -6.3913
Ac Pm Tl
8 2 4
direct
0.1900 0.1715 0.0185
0.2405 0.2368 0.4963
0.2405 0.7441 0.0037
0.3470 0.8285 0.5185
0.6530 0.1715 0.4815
0.7595 0.2559 0.9963
0.7595 0.7632 0.5037
0.8100 0.8285 0.9815
0.0224 0.2724 0.7500
0.9776 0.7276 0.2500
0.0000 0.5000 0.5000
0.5000 0.0000 0.0000
0.5000 0.5000 0.0000
0.5000 0.5000 0.5000